No. 1
A crystal of Sc2CdPbI relaxed with PBEsol, computed with meta-GGA SCAN.

The final energy comes out at -33.841 eV/atom.

It has space group P4/mmm (No. 123), with a = 5.466 Å, b = 5.466 Å, c = 6.124 Å, α = 90.00°, β = 90.00° and γ = 90.00°. The inequivalent atoms are Sc at (0.000, 0.500, 0.000), Cd at (0.000, 0.000, 0.500), Pb at (0.500, 0.500, 0.000) and I at (0.500, 0.500, 0.500).

No. 2
A crystal of TiCdPbI2 relaxed with PBEsol, computed with meta-GGA SCAN.

The final energy comes out at -38.697 eV/atom.

It has space group P4/mmm (No. 123), with a = 6.123 Å, b = 6.123 Å, c = 5.597 Å, α = 90.00°, β = 90.00° and γ = 90.00°. The inequivalent atoms are Ti at (0.000, 0.000, 0.000), Cd at (0.500, 0.500, 0.000), Pb at (0.000, 0.000, 0.500) and I at (0.000, 0.500, 0.500).

No. 3
A crystal of CdPdI3 relaxed with PBEsol, computed with meta-GGA SCAN.

The final energy comes out at -34.294 eV/atom.

It has space group Pm-3m (No. 221), with a = 5.704 Å, b = 5.704 Å, c = 5.704 Å, α = 90.00°, β = 90.00° and γ = 90.00°. The inequivalent atoms are Cd at (0.000, 0.000, 0.000), Pd at (0.500, 0.500, 0.500) and I at (0.000, 0.000, 0.500).

No. 4
A crystal of CdSb2PdI relaxed with PBEsol, computed with meta-GGA SCAN.

The final energy comes out at -34.538 eV/atom.

It has space group P4/mmm (No. 123), with a = 5.173 Å, b = 5.173 Å, c = 5.470 Å, α = 90.00°, β = 90.00° and γ = 90.00°. The inequivalent atoms are Cd at (0.000, 0.000, 0.000), Sb at (0.000, 0.500, 0.500), Pd at (0.500, 0.500, 0.500) and I at (0.500, 0.500, 0.000).

No. 5
A crystal of Sc2CdPdI relaxed with PBEsol, computed with meta-GGA SCAN.

The final energy comes out at -24.830 eV/atom.

It has space group P4/mmm (No. 123), with a = 5.257 Å, b = 5.257 Å, c = 5.414 Å, α = 90.00°, β = 90.00° and γ = 90.00°. The inequivalent atoms are Sc at (0.000, 0.500, 0.000), Cd at (0.000, 0.000, 0.000), Pd at (0.500, 0.500, 0.500) and I at (0.000, 0.000, 0.500).

No. 6
A crystal of TiCdPtI2 relaxed with PBEsol, computed with meta-GGA SCAN.

The final energy comes out at -37.763 eV/atom.

It has space group P4/mmm (No. 123), with a = 5.464 Å, b = 5.464 Å, c = 4.928 Å, α = 90.00°, β = 90.00° and γ = 90.00°. The inequivalent atoms are Ti at (0.000, 0.000, 0.000), Cd at (0.500, 0.500, 0.000), Pt at (0.000, 0.000, 0.500) and I at (0.000, 0.500, 0.500).

No. 7
A crystal of Cd2PtWI relaxed with PBEsol, computed with meta-GGA SCAN.

The final energy comes out at -45.851 eV/atom.

It has space group P4/mmm (No. 123), with a = 5.265 Å, b = 5.265 Å, c = 4.909 Å, α = 90.00°, β = 90.00° and γ = 90.00°. The inequivalent atoms are Cd at (0.000, 0.500, 0.000), Pt at (0.000, 0.000, 0.500), W at (0.500, 0.500, 0.000) and I at (0.500, 0.500, 0.500).

No. 8
A crystal of RbCdI3 relaxed with PBEsol, computed with meta-GGA SCAN.

The final energy comes out at -33.258 eV/atom.

It has space group Pm-3m (No. 221), with a = 5.870 Å, b = 5.870 Å, c = 5.870 Å, α = 90.00°, β = 90.00° and γ = 90.00°. The inequivalent atoms are Rb at (0.000, 0.000, 0.000), Cd at (0.500, 0.500, 0.500) and I at (0.000, 0.500, 0.500).

No. 9
A crystal of RbCd2I2 relaxed with PBEsol, computed with meta-GGA SCAN.

The final energy comes out at -31.633 eV/atom.

It has space group I4/mmm (No. 139), with a = 4.164 Å, b = 4.164 Å, c = 19.826 Å, α = 90.00°, β = 90.00° and γ = 90.00°. The inequivalent atoms are Rb at (0.000, 0.000, 0.000), Cd at (0.000, 0.500, 0.250) and I at (0.000, 0.000, 0.391).

No. 10
A crystal of RbY2CdI relaxed with PBEsol, computed with meta-GGA SCAN.

The final energy comes out at -27.507 eV/atom.

It has space group P4/mmm (No. 123), with a = 5.760 Å, b = 5.760 Å, c = 5.617 Å, α = 90.00°, β = 90.00° and γ = 90.00°. The inequivalent atoms are Rb at (0.000, 0.000, 0.000), Y at (0.000, 0.500, 0.000), Cd at (0.000, 0.000, 0.500) and I at (0.500, 0.500, 0.500).

No. 11
A crystal of Sc2CdReI relaxed with PBEsol, computed with meta-GGA SCAN.

The final energy comes out at -32.252 eV/atom.

It has space group P4/mmm (No. 123), with a = 5.151 Å, b = 5.151 Å, c = 4.816 Å, α = 90.00°, β = 90.00° and γ = 90.00°. The inequivalent atoms are Sc at (0.000, 0.500, 0.000), Cd at (0.000, 0.000, 0.500), Re at (0.500, 0.500, 0.500) and I at (0.500, 0.500, 0.000).

No. 12
A crystal of CdSbRhI2 relaxed with PBEsol, computed with meta-GGA SCAN.

The value obtained for the energy relative to the lowest polymorph listed for this composition is 0.000 eV/atom.

It has space group P4/mmm (No. 123), with a = 5.459 Å, b = 5.459 Å, c = 4.969 Å, α = 90.00°, β = 90.00° and γ = 90.00°. The inequivalent atoms are Cd at (0.000, 0.000, 0.000), Sb at (0.500, 0.500, 0.000), Rh at (0.500, 0.500, 0.500) and I at (0.000, 0.500, 0.500).

No. 13
A crystal of CdTe2RhI relaxed with PBEsol, computed with meta-GGA SCAN.

The value obtained for the energy relative to the lowest polymorph listed for this composition is 0.000 eV/atom.

It has space group P4/mmm (No. 123), with a = 5.153 Å, b = 5.153 Å, c = 5.379 Å, α = 90.00°, β = 90.00° and γ = 90.00°. The inequivalent atoms are Cd at (0.000, 0.000, 0.000), Te at (0.000, 0.500, 0.500), Rh at (0.500, 0.500, 0.500) and I at (0.500, 0.500, 0.000).

No. 14
A crystal of CdRu3I relaxed with PBEsol, computed with meta-GGA SCAN.

The final energy comes out at -32.665 eV/atom.

It has space group Pm-3m (No. 221), with a = 4.717 Å, b = 4.717 Å, c = 4.717 Å, α = 90.00°, β = 90.00° and γ = 90.00°. The inequivalent atoms are Cd at (0.000, 0.000, 0.000), Ru at (0.000, 0.500, 0.500) and I at (0.500, 0.500, 0.500).

No. 15
A crystal of YCdRuI2 relaxed with PBEsol, computed with meta-GGA SCAN.

The final energy comes out at -32.719 eV/atom.

It has space group P4/mmm (No. 123), with a = 5.759 Å, b = 5.759 Å, c = 5.995 Å, α = 90.00°, β = 90.00° and γ = 90.00°. The inequivalent atoms are Y at (0.000, 0.000, 0.000), Cd at (0.000, 0.000, 0.500), Ru at (0.500, 0.500, 0.500) and I at (0.000, 0.500, 0.000).

No. 16
A crystal of Cd4Sb2I3 relaxed with PBEsol, computed with meta-GGA SCAN.

The final energy comes out at -34.413 eV/atom.

It has space group Pa-3 (No. 205), with a = 13.468 Å, b = 13.468 Å, c = 13.468 Å, α = 90.00°, β = 90.00° and γ = 90.00°. The inequivalent atoms are Cd at (0.021, 0.244, 0.527), Cd at (0.221, 0.721, 0.779), Sb at (0.059, 0.059, 0.059), Sb at (0.103, 0.603, 0.897) and I at (0.067, 0.240, 0.313).

No. 17
A crystal of ScCdSbI2 relaxed with PBEsol, computed with meta-GGA SCAN.

The final energy comes out at -30.782 eV/atom.

It has space group P4/mmm (No. 123), with a = 5.543 Å, b = 5.543 Å, c = 5.622 Å, α = 90.00°, β = 90.00° and γ = 90.00°. The inequivalent atoms are Sc at (0.000, 0.000, 0.000), Cd at (0.500, 0.500, 0.500), Sb at (0.500, 0.500, 0.000) and I at (0.000, 0.500, 0.500).

No. 18
A crystal of CdSb2TeI relaxed with PBEsol, computed with meta-GGA SCAN.

The final energy comes out at -35.136 eV/atom.

It has space group P4/mmm (No. 123), with a = 5.557 Å, b = 5.557 Å, c = 5.364 Å, α = 90.00°, β = 90.00° and γ = 90.00°. The inequivalent atoms are Cd at (0.000, 0.000, 0.000), Sb at (0.000, 0.500, 0.000), Te at (0.000, 0.000, 0.500) and I at (0.500, 0.500, 0.500).

No. 19
A crystal of TiCdSbI2 relaxed with PBEsol, computed with meta-GGA SCAN.

The final energy comes out at -30.833 eV/atom.

It has space group P4/mmm (No. 123), with a = 5.609 Å, b = 5.609 Å, c = 5.522 Å, α = 90.00°, β = 90.00° and γ = 90.00°. The inequivalent atoms are Ti at (0.000, 0.000, 0.000), Cd at (0.500, 0.500, 0.500), Sb at (0.500, 0.500, 0.000) and I at (0.000, 0.500, 0.500).

No. 20
A crystal of TiCdSb2I relaxed with PBEsol, computed with meta-GGA SCAN.

The final energy comes out at -30.755 eV/atom.

It has space group P4/mmm (No. 123), with a = 5.333 Å, b = 5.333 Å, c = 5.768 Å, α = 90.00°, β = 90.00° and γ = 90.00°. The inequivalent atoms are Ti at (0.000, 0.000, 0.000), Cd at (0.500, 0.500, 0.500), Sb at (0.000, 0.500, 0.500) and I at (0.500, 0.500, 0.000).

No. 21
A crystal of TlCdSbI2 relaxed with PBEsol, computed with meta-GGA SCAN.

The final energy comes out at -42.337 eV/atom.

It has space group P4/mmm (No. 123), with a = 5.971 Å, b = 5.971 Å, c = 5.769 Å, α = 90.00°, β = 90.00° and γ = 90.00°. The inequivalent atoms are Tl at (0.000, 0.000, 0.000), Cd at (0.500, 0.500, 0.500), Sb at (0.000, 0.000, 0.500) and I at (0.000, 0.500, 0.000).

No. 22
A crystal of TlCdSb2I relaxed with PBEsol, computed with meta-GGA SCAN.

The final energy comes out at -42.091 eV/atom.

It has space group P4/mmm (No. 123), with a = 5.654 Å, b = 5.654 Å, c = 5.998 Å, α = 90.00°, β = 90.00° and γ = 90.00°. The inequivalent atoms are Tl at (0.000, 0.000, 0.000), Cd at (0.500, 0.500, 0.500), Sb at (0.000, 0.500, 0.000) and I at (0.000, 0.000, 0.500).

No. 23
A crystal of YCdSbI2 relaxed with PBEsol, computed with meta-GGA SCAN.

The final energy comes out at -34.175 eV/atom.

It has space group P4/mmm (No. 123), with a = 5.782 Å, b = 5.782 Å, c = 6.039 Å, α = 90.00°, β = 90.00° and γ = 90.00°. The inequivalent atoms are Y at (0.000, 0.000, 0.000), Cd at (0.500, 0.500, 0.500), Sb at (0.000, 0.000, 0.500) and I at (0.000, 0.500, 0.000).

No. 24
A crystal of ScCd2WI relaxed with PBEsol, computed with meta-GGA SCAN.

The final energy comes out at -34.903 eV/atom.

It has space group P4/mmm (No. 123), with a = 5.491 Å, b = 5.491 Å, c = 4.804 Å, α = 90.00°, β = 90.00° and γ = 90.00°. The inequivalent atoms are Sc at (0.000, 0.000, 0.000), Cd at (0.000, 0.500, 0.000), W at (0.000, 0.000, 0.500) and I at (0.500, 0.500, 0.500).

No. 25
A crystal of CdSeI3 relaxed with PBEsol, computed with meta-GGA SCAN.

The value obtained for the energy relative to the lowest polymorph listed for this composition is 0.086 eV/atom.

It has space group Pm-3m (No. 221), with a = 5.750 Å, b = 5.750 Å, c = 5.750 Å, α = 90.00°, β = 90.00° and γ = 90.00°. The inequivalent atoms are Cd at (0.000, 0.000, 0.000), Se at (0.500, 0.500, 0.500) and I at (0.000, 0.000, 0.500).